Here is a crystal of CuTe2Os relaxed with PBEsol from Alexandria via LeMat-Bulk. Energies are from SCAN.

Computed properties:
Total magnetization, μB/f.u.: 0.00
ΔE to the lowest computed polymorph, kJ per mole of atoms: 23.0
E_form (uncorrected), meV/atom: 541
Crystal system: orthorhombic

abc: 3.1453 4.1191 6.7328
angles: 107.81 103.51 90.00
Fractional positions:
Cu 0.5699 0.5699 0.1397
Os 0.2738 0.7738 0.5477
Te 0.9479 0.9479 0.8959
Te 0.7084 0.2084 0.4167